Below is a geometry-optimized Ti6Zn2HO structure, with properties calculated at the GGA-PBE level.

```
Ti6Zn2HO
1.0
0.0000 4.0818 4.0818
4.0818 0.0000 4.0818
4.0818 4.0818 0.0000
Ti Zn H O
6 2 1 1
direct
0.2422 0.2422 0.7578 Ti
0.2422 0.7578 0.2422 Ti
0.2422 0.7578 0.7578 Ti
0.7578 0.2422 0.2422 Ti
0.7578 0.2422 0.7578 Ti
0.7578 0.7578 0.2422 Ti
0.2500 0.2500 0.2500 Zn
0.7500 0.7500 0.7500 Zn
0.0000 0.0000 0.0000 H
0.5000 0.5000 0.5000 O
```

Total DFT energy (no corrections): -6.54 eV/atom
Symmetry: Fm-3m, No. 225

---

Below is a geometry-optimized TlH2O4 structure, with properties calculated at the GGA-PBE level.

```
TlH2O4
1.0
-2.1193 2.1193 4.6049
2.1193 -2.1193 4.6049
2.1193 2.1193 -4.6049
Tl H O
1 2 4
direct
0.0000 0.0000 0.0000 Tl
0.3761 0.3761 0.0000 H
0.6239 0.6239 0.0000 H
0.0000 0.5000 0.5000 O
0.2690 0.2690 0.0000 O
0.5000 0.0000 0.5000 O
0.7310 0.7310 0.0000 O
```

Total DFT energy (no corrections): -4.02 eV/atom
Symmetry: I4/mmm, No. 139

---

Below is a geometry-optimized TlHO2 structure, with properties calculated at the GGA-PBE level.

```
TlHO2
1.0
2.9443 -3.5379 0.0000
2.9443 3.5379 0.0000
-2.2126 0.0000 5.2739
Tl H O
2 2 4
direct
0.1646 0.8354 0.7500 Tl
0.8354 0.1646 0.2500 Tl
0.1839 0.8161 0.2500 H
0.8161 0.1839 0.7500 H
0.0065 0.3084 0.6658 O
0.3084 0.0065 0.1658 O
0.6916 0.9935 0.8342 O
0.9935 0.6916 0.3342 O
```

Total DFT energy (no corrections): -4.62 eV/atom
Symmetry: C2/c, No. 15

---

Below is a geometry-optimized Tl2HO2 structure, with properties calculated at the GGA-PBE level.

```
Tl2HO2
1.0
5.1222 0.0000 0.0000
0.0000 2.8816 0.0000
-0.0202 0.0000 10.1363
Tl H O
4 2 4
direct
0.2486 0.2500 0.1777 Tl
0.2504 0.2500 0.5912 Tl
0.7496 0.7500 0.4088 Tl
0.7514 0.7500 0.8223 Tl
0.2518 0.2500 0.8771 H
0.7482 0.7500 0.1229 H
0.2495 0.7500 0.3879 O
0.2516 0.7500 0.8659 O
0.7484 0.2500 0.1341 O
0.7505 0.2500 0.6121 O
```

Total DFT energy (no corrections): -3.83 eV/atom
Symmetry: P2_1/m, No. 11

---

Below is a geometry-optimized Tl3H4O4 structure, with properties calculated at the GGA-PBE level.

```
Tl3H4O4
1.0
3.8486 0.0000 0.0000
1.8166 3.4392 0.0000
0.1215 0.3122 14.1314
Tl H O
3 4 4
direct
0.0000 0.0000 0.0000 Tl
0.1362 0.0809 0.3376 Tl
0.3338 0.3715 0.6693 Tl
0.5604 0.3236 0.1872 H
0.6500 0.7761 0.1454 H
0.6703 0.6984 0.8204 H
0.8338 0.6643 0.4820 H
0.6285 0.1181 0.2371 O
0.6333 0.6530 0.0858 O
0.6693 0.7054 0.7512 O
0.8124 0.7091 0.4131 O
```

Total DFT energy (no corrections): -4.45 eV/atom
Symmetry: P1, No. 1

---

Below is a geometry-optimized TlHO2 structure, with properties calculated at the GGA-PBE level.

```
TlHO2
1.0
3.2614 0.0000 0.0000
-1.6307 2.8244 0.0000
0.0000 0.0000 6.1554
Tl H O
1 1 2
direct
0.0000 0.0000 0.0000 Tl
0.6667 0.3333 0.3701 H
0.0000 0.0000 0.3464 O
0.3333 0.6667 0.8246 O
```

Total DFT energy (no corrections): -3.74 eV/atom
Symmetry: P3m1, No. 156

---

Size of the total moment in μB/f.u., matching the order above: 0.0 2.8 0.0 0.0 0.0 0.0
DOS at the Fermi energy in states/eV/atom, matching the order above: 1.089 0.652 0.000 0.275 0.099 0.141